# SrCaMn2, relaxed, DFT PBE
# Energy of formation from the pure elements   0.56 eV/atom
# ΔE to the lowest computed polymorph   0.055 eV per atom
# Total magnetization   15.1 μB per cell
data_SrCaMn2
_cell_length_a 3.630
_cell_length_b 5.416
_cell_length_c 11.180
_cell_angle_alpha 90.00
_cell_angle_beta 90.00
_cell_angle_gamma 90.00
_symmetry_space_group_name_H-M 'I m m 2'
_symmetry_Int_Tables_number 44
_symmetry_space_group_name_Hall 'I 2 -2'
loop_
_atom_site_label
_atom_site_fract_x
_atom_site_fract_y
_atom_site_fract_z
_atom_site_occupancy
Sr1 0.000 0.000 0.000 1
Ca1 0.000 0.500 0.796 1
Mn1 0.000 0.000 0.559 1
Mn2 0.000 0.500 0.236 1

# SrCaMn2, relaxed, DFT PBE
# Energy of formation from the pure elements   0.62 eV/atom
# ΔE to the lowest computed polymorph   0.122 eV per atom
# Total magnetization   14.6 μB per cell
data_SrCaMn2
_cell_length_a 9.954
_cell_length_b 4.669
_cell_length_c 6.483
_cell_angle_alpha 90.00
_cell_angle_beta 123.01
_cell_angle_gamma 90.00
_symmetry_space_group_name_H-M 'C 1 2/m 1'
_symmetry_Int_Tables_number 12
_symmetry_space_group_name_Hall '-C 2y'
loop_
_atom_site_label
_atom_site_fract_x
_atom_site_fract_y
_atom_site_fract_z
_atom_site_occupancy
Sr1 0.000 0.000 0.000 1
Ca1 0.000 0.500 0.500 1
Mn1 0.233 0.000 0.594 1

# SrCa2Mn, relaxed, DFT PBE
# Energy of formation from the pure elements   0.47 eV/atom
# ΔE to the lowest computed polymorph   0.187 eV per atom
# Total magnetization   8.7 μB per cell
data_SrCa2Mn
_cell_length_a 7.139
_cell_length_b 12.045
_cell_length_c 3.699
_cell_angle_alpha 90.00
_cell_angle_beta 114.41
_cell_angle_gamma 90.00
_symmetry_space_group_name_H-M 'C 1 2/m 1'
_symmetry_Int_Tables_number 12
_symmetry_space_group_name_Hall '-C 2y'
loop_
_atom_site_label
_atom_site_fract_x
_atom_site_fract_y
_atom_site_fract_z
_atom_site_occupancy
Sr1 0.000 0.000 0.000 1
Ca1 0.250 0.250 0.500 1
Mn1 0.000 0.500 0.000 1

# SrCa2Mn, relaxed, DFT PBE
# Energy of formation from the pure elements   0.40 eV/atom
# ΔE to the lowest computed polymorph   0.120 eV per atom
# Total magnetization   11.0 μB per cell
data_SrCa2Mn
_cell_length_a 3.8985
_cell_length_b 3.8985
_cell_length_c 33.6809
_cell_angle_alpha 90.00
_cell_angle_beta 90.00
_cell_angle_gamma 120.00
_symmetry_space_group_name_H-M 'R -3 m'
_symmetry_Int_Tables_number 166
_symmetry_space_group_name_Hall '-R 3 2"'
loop_
_atom_site_label
_atom_site_fract_x
_atom_site_fract_y
_atom_site_fract_z
_atom_site_occupancy
Sr1 0.0000 0.0000 0.0000 1
Ca1 0.0000 0.0000 0.2310 1
Mn1 0.0000 0.0000 0.5000 1

# Sr2CaMn2, relaxed, DFT PBE
# Energy of formation from the pure elements   0.67 eV/atom
# ΔE to the lowest computed polymorph   0.200 eV per atom
# Total magnetization   14.5 μB per cell
data_Sr2CaMn2
_cell_length_a 4.977
_cell_length_b 4.977
_cell_length_c 13.860
_cell_angle_alpha 90.00
_cell_angle_beta 90.00
_cell_angle_gamma 90.00
_symmetry_space_group_name_H-M 'I 4/m m m'
_symmetry_Int_Tables_number 139
_symmetry_space_group_name_Hall '-I 4 2'
loop_
_atom_site_label
_atom_site_fract_x
_atom_site_fract_y
_atom_site_fract_z
_atom_site_occupancy
Sr1 0.000 0.500 0.250 1
Ca1 0.000 0.000 0.000 1
Mn1 0.000 0.000 0.412 1

# SrCaMn2, relaxed, DFT PBE
# Energy of formation from the pure elements   0.81 eV/atom
# ΔE to the lowest computed polymorph   0.304 eV per atom
# Total magnetization   22.5 μB per cell
data_SrCaMn2
_cell_length_a 3.6498
_cell_length_b 3.6498
_cell_length_c 30.0339
_cell_angle_alpha 90.00
_cell_angle_beta 90.00
_cell_angle_gamma 120.00
_symmetry_space_group_name_H-M 'R -3 m'
_symmetry_Int_Tables_number 166
_symmetry_space_group_name_Hall '-R 3 2"'
loop_
_atom_site_label
_atom_site_fract_x
_atom_site_fract_y
_atom_site_fract_z
_atom_site_occupancy
Sr1 0.0000 0.0000 0.0000 1
Ca1 0.0000 0.0000 0.5000 1
Mn1 0.0000 0.0000 0.2472 1

# SrCa4Mn, relaxed, DFT PBE
# Energy of formation from the pure elements   0.49 eV/atom
# Total magnetization   20.6 μB per cell
data_SrCa4Mn
_cell_length_a 9.984
_cell_length_b 9.984
_cell_length_c 9.984
_cell_angle_alpha 90.00
_cell_angle_beta 90.00
_cell_angle_gamma 90.00
_symmetry_space_group_name_H-M 'F -4 3 m'
_symmetry_Int_Tables_number 216
_symmetry_space_group_name_Hall 'F -4 2 3'
loop_
_atom_site_label
_atom_site_fract_x
_atom_site_fract_y
_atom_site_fract_z
_atom_site_occupancy
Sr1 0.000 0.000 0.000 1
Ca1 0.124 0.124 0.624 1
Mn1 0.250 0.250 0.250 1

# Sr2CaMn, relaxed, DFT PBE
# Energy of formation from the pure elements   0.32 eV/atom
# ΔE to the lowest computed polymorph   0.018 eV per atom
# Total magnetization   3.6 μB per cell
data_Sr2CaMn
_cell_length_a 3.983
_cell_length_b 3.999
_cell_length_c 9.652
_cell_angle_alpha 90.00
_cell_angle_beta 90.11
_cell_angle_gamma 90.00
_symmetry_space_group_name_H-M 'P 1 2/m 1'
_symmetry_Int_Tables_number 10
_symmetry_space_group_name_Hall '-P 2y'
loop_
_atom_site_label
_atom_site_fract_x
_atom_site_fract_y
_atom_site_fract_z
_atom_site_occupancy
Sr1 0.000 0.000 0.197 1
Ca1 0.500 0.500 0.500 1
Mn1 0.500 0.500 0.000 1